1.
VASP calculation (PBE) on crystalline CoOsC2 at its relaxed geometry.

- D(E_F) (states/eV/cell) = 6.82
- calculated formation energy (eV per atom) = 1.28
- VASP energy (eV per atom) = -7.91
- density (g/cm³) = 12.9
- total moment (μB per formula unit) = 0.0

a = 5.2045 Å, b = 5.2045 Å, c = 5.2045 Å
α = 90.00°, β = 90.00°, γ = 90.00°
Space group Fm-3m (No. 225)
Inequivalent atoms, fractional coordinates:
Co: 0.0000 0.0000 0.0000
Os: 0.0000 0.0000 0.5000
C: 0.2500 0.2500 0.2500

=====

2.
VASP calculation (PBE) on crystalline KCoAs4 at its relaxed geometry.

- D(E_F) (states/eV/cell) = 9.48
- calculated formation energy (eV per atom) = 0.44
- VASP energy (eV per atom) = -4.03
- density (g/cm³) = 5.1
- total moment (μB per formula unit) = 2.2

a = 8.0147 Å, b = 8.0147 Å, c = 8.0147 Å
α = 90.00°, β = 90.00°, γ = 90.00°
Space group F-43m (No. 216)
Inequivalent atoms, fractional coordinates:
K: 0.0000 0.0000 0.0000
Co: 0.2500 0.2500 0.2500
As: 0.1221 0.1221 0.6221